Entry 1:
An optimized crystal structure of Cd2ReAu. Source: Alexandria, functional PBE.

SG	Pmm2
N(E_F)	0.960	states/eV per atom
DFT formation energy	491	meV per atom
total DFT energy (no corrections)	-15.6	eV per cell
magnetization	0.00	μB per formula unit

Unit cell a=2.8241 b=4.3598 c=5.9126 alpha=90.00 beta=90.00 gamma=90.00
Positions (direct):
Re 0.0000 0.0000 0.4996
Au 0.5000 0.5000 0.7408
Cd 0.0000 0.0000 0.9930
Cd 0.5000 0.5000 0.2667

Entry 2:
An optimized crystal structure of Ba2Tl3Hg2. Source: Alexandria, functional PBE.

SG	C2/m
N(E_F)	0.727	states/eV per atom
DFT formation energy	-354	meV per atom
total DFT energy (no corrections)	-14.0	eV per cell
magnetization	0.00	μB per formula unit

Unit cell a=5.0229 b=6.5846 c=7.9720 alpha=99.57 beta=90.00 gamma=112.42
Positions (direct):
Ba 0.6148 0.2295 0.3224
Ba 0.3852 0.7705 0.6776
Tl 0.2967 0.5934 0.1247
Tl 0.0000 0.0000 0.0000
Tl 0.7033 0.4066 0.8753
Hg 0.0987 0.1975 0.6562
Hg 0.9013 0.8025 0.3438